Record 1
Density functional theory data (GGA-PBE) for a relaxed ReNi8Rh2 crystal.

abc: 4.4243 4.4400 6.8009
angles: 90.27 96.62 99.50
Element x y z (fractional)
Re (0.0000, 0.0000, 0.0000)
Ni (0.0946, 0.1834, 0.3618)
Ni (0.2719, 0.5457, 0.0921)
Ni (0.3685, 0.7356, 0.4541)
Ni (0.4584, 0.9072, 0.8209)
Ni (0.5416, 0.0928, 0.1791)
Ni (0.6315, 0.2643, 0.5459)
Ni (0.7281, 0.4543, 0.9079)
Ni (0.9054, 0.8166, 0.6382)
Rh (0.1801, 0.3629, 0.7247)
Rh (0.8199, 0.6371, 0.2753)

Results
ΔE_f (eV per atom): 0.01
Magnetization (μB/f.u.): 3.07
Symmetry: P-1

---

Record 2
Density functional theory data (GGA-PBE) for a relaxed Ba3P crystal.

abc: 5.0989 5.1394 7.4889
angles: 90.00 90.00 90.00
Element x y z (fractional)
Ba (0.0000, 0.0000, 0.0000)
Ba (0.0000, 0.5000, 0.4490)
Ba (0.5000, 0.5000, 0.0100)
P (0.5000, 0.0000, 0.2575)

Results
ΔE_f (eV per atom): -0.31
Magnetization (μB/f.u.): 0.80
Symmetry: Pmm2
Energy above the most stable polymorph in this dataset (eV per formula unit): 1.10

---

Record 3
Density functional theory data (GGA-PBE) for a relaxed Y2CrAs crystal.

abc: 3.7215 3.7215 6.5614
angles: 90.00 90.00 90.00
Element x y z (fractional)
Y (0.0000, 0.0000, 0.2424)
Y (0.0000, 0.0000, 0.7576)
Cr (0.5000, 0.5000, 0.5000)
As (0.5000, 0.5000, 0.0000)

Results
ΔE_f (eV per atom): -0.39
Magnetization (μB/f.u.): 3.14
Symmetry: P4/mmm

---

Record 4
Density functional theory data (GGA-PBE) for a relaxed La2CdIn6Pd crystal.

abc: 7.4915 7.4915 7.4915
angles: 60.00 60.00 60.00
Element x y z (fractional)
La (0.2500, 0.2500, 0.2500)
La (0.7500, 0.7500, 0.7500)
Cd (0.0000, 0.0000, 0.0000)
In (0.2560, 0.2560, 0.7440)
In (0.2560, 0.7440, 0.2560)
In (0.2560, 0.7440, 0.7440)
In (0.7440, 0.2560, 0.2560)
In (0.7440, 0.2560, 0.7440)
In (0.7440, 0.7440, 0.2560)
Pd (0.5000, 0.5000, 0.5000)

Results
ΔE_f (eV per atom): -0.08
Magnetization (μB/f.u.): 0.00
Symmetry: Fm-3m

---

Record 5
Density functional theory data (GGA-PBE) for a relaxed CeSm2Tl2Cd2 crystal.

abc: 9.3333 9.3333 9.3333
angles: 31.56 31.56 31.56
Element x y z (fractional)
Ce (0.0000, 0.0000, 0.0000)
Sm (0.1307, 0.1307, 0.1307)
Sm (0.8693, 0.8693, 0.8693)
Tl (0.2692, 0.2692, 0.2692)
Tl (0.7308, 0.7308, 0.7308)
Cd (0.4201, 0.4201, 0.4201)
Cd (0.5799, 0.5799, 0.5799)

Results
ΔE_f (eV per atom): -0.14
Magnetization (μB/f.u.): 1.24
Symmetry: R-3m

---

Record 6
Density functional theory data (GGA-PBE) for a relaxed K2TlIrF6 crystal.

abc: 6.5291 6.5291 6.5291
angles: 60.00 60.00 60.00
Element x y z (fractional)
K (0.2500, 0.2500, 0.2500)
K (0.7500, 0.7500, 0.7500)
Tl (0.0000, 0.0000, 0.0000)
Ir (0.5000, 0.5000, 0.5000)
F (0.2795, 0.2795, 0.7205)
F (0.2795, 0.7205, 0.2795)
F (0.2795, 0.7205, 0.7205)
F (0.7205, 0.2795, 0.2795)
F (0.7205, 0.2795, 0.7205)
F (0.7205, 0.7205, 0.2795)

Results
Magnetization (μB/f.u.): 0.19
Electronic total energy (eV per atom): -4.49
Symmetry: Fm-3m

---

Record 7
Density functional theory data (GGA-PBE) for a relaxed LiMg2Zn crystal.

abc: 5.3626 5.3626 5.3626
angles: 135.05 135.05 65.45
Element x y z (fractional)
Li (0.0000, 0.0000, 0.0000)
Mg (0.2500, 0.7500, 0.5000)
Mg (0.5000, 0.5000, 0.0000)
Zn (0.7500, 0.2500, 0.5000)

Results
ΔE_f (eV per atom): -0.06
Magnetization (μB/f.u.): 0.00
Symmetry: I-4m2

---

Record 8
Density functional theory data (GGA-PBE) for a relaxed NbVRh3 crystal.

abc: 4.8299 4.8299 8.5721
angles: 93.34 93.34 47.92
Element x y z (fractional)
Nb (0.1500, 0.1500, 0.0690)
Nb (0.8500, 0.8500, 0.9310)
V (0.3634, 0.3634, 0.4408)
V (0.6366, 0.6366, 0.5592)
Rh (0.0722, 0.0722, 0.3684)
Rh (0.2354, 0.2354, 0.7343)
Rh (0.4553, 0.4553, 0.1534)
Rh (0.5447, 0.5447, 0.8466)
Rh (0.7646, 0.7646, 0.2657)
Rh (0.9278, 0.9278, 0.6316)

Results
ΔE_f (eV per atom): -0.36
Magnetization (μB/f.u.): 0.00
Symmetry: C2/m
Energy above the most stable polymorph in this dataset (eV per formula unit): 0.00

---

Record 9
Density functional theory data (GGA-PBE) for a relaxed Tb6GaS5 crystal.

abc: 6.8836 6.8836 6.8856
angles: 99.58 99.58 119.74
Element x y z (fractional)
Tb (0.0826, 0.4169, 0.7498)
Tb (0.2493, 0.2493, 0.2495)
Tb (0.4169, 0.0826, 0.7498)
Tb (0.5831, 0.9174, 0.2502)
Tb (0.7507, 0.7507, 0.7505)
Tb (0.9174, 0.5831, 0.2502)
Ga (0.5000, 0.5000, 0.0000)
S (0.0000, 0.0000, 0.5000)
S (0.1665, 0.8335, 0.0000)
S (0.3330, 0.6670, 0.5000)
S (0.6670, 0.3330, 0.5000)
S (0.8335, 0.1665, 0.0000)

Results
Magnetization (μB/f.u.): 0.00
Electronic total energy (eV per atom): -6.07
Symmetry: C2/m

---

Record 10
Density functional theory data (GGA-PBE) for a relaxed NaNd2Sm3S6 crystal.

abc: 9.0395 9.0395 8.0975
angles: 102.94 102.94 25.74
Element x y z (fractional)
Na (0.0000, 0.0000, 0.0000)
Nd (0.3316, 0.3316, 0.6604)
Nd (0.6684, 0.6684, 0.3396)
Sm (0.0000, 0.0000, 0.5000)
Sm (0.3353, 0.3353, 0.1721)
Sm (0.6647, 0.6647, 0.8279)
S (0.1638, 0.1638, 0.5870)
S (0.1677, 0.1677, 0.0791)
S (0.5000, 0.5000, 0.2528)
S (0.5000, 0.5000, 0.7472)
S (0.8323, 0.8323, 0.9209)
S (0.8362, 0.8362, 0.4130)

Results
Magnetization (μB/f.u.): 0.00
Electronic total energy (eV per atom): -6.11
Symmetry: C2/m

---

Record 11
Density functional theory data (GGA-PBE) for a relaxed K3Nb3NiS8 crystal.

abc: 7.1106 7.1106 8.6339
angles: 114.39 114.39 59.89
Element x y z (fractional)
K (0.0000, 0.0000, 0.0000)
K (0.0000, 0.5000, 0.0000)
K (0.5000, 0.0000, 0.0000)
Nb (0.0000, 0.5000, 0.5000)
Nb (0.5000, 0.0000, 0.5000)
Nb (0.5000, 0.5000, 0.5000)
Ni (0.0000, 0.0000, 0.5000)
S (0.2250, 0.7350, 0.6850)
S (0.2256, 0.2256, 0.6852)
S (0.2650, 0.7750, 0.3150)
S (0.2674, 0.2674, 0.3023)
S (0.7326, 0.7326, 0.6977)
S (0.7350, 0.2250, 0.6850)
S (0.7744, 0.7744, 0.3148)
S (0.7750, 0.2650, 0.3150)

Results
Magnetization (μB/f.u.): 1.38
Electronic total energy (eV per atom): -5.76
Symmetry: C2/m

---

Record 12
Density functional theory data (GGA-PBE) for a relaxed TeHPb2 crystal.

abc: 5.3153 5.3153 5.3153
angles: 60.00 60.00 60.00
Element x y z (fractional)
Te (0.0000, 0.0000, 0.0000)
H (0.5000, 0.5000, 0.5000)
Pb (0.2500, 0.2500, 0.2500)
Pb (0.7500, 0.7500, 0.7500)

Results
Magnetization (μB/f.u.): 0.00
Symmetry: Fm-3m
Energy above the most stable polymorph in this dataset (eV per formula unit): 0.80

---

Number 1: V 130.9 Å³ per cell. Number 2: V 196.2 Å³ per cell. Number 3: V 90.9 Å³ per cell. Number 4: V 297.3 Å³ per cell. Number 5: V 197.8 Å³ per cell. Number 6: V 196.8 Å³ per cell. Number 7: V 75.8 Å³ per cell. Number 8: V 148.1 Å³ per cell. Number 9: V 267.3 Å³ per cell. Number 10: V 279.7 Å³ per cell. Number 11: V 332.0 Å³ per cell. Number 12: V 106.2 Å³ per cell.